Density functional theory data (GGA-PBE) for a relaxed structure of Ta3TiF.

Cell: 4.3520 4.3520 4.3520 Å, 90.00 90.00 90.00°
Closest atoms and distances in Å follow each position.
Atoms (fractional coordinates):
F 0.0000 0.0000 0.0000  6 Ta 2.18
Ta 0.0000 0.5000 0.0000  2 F 2.18
Ta 0.5000 0.0000 0.0000  2 F 2.18
Ta 0.0000 0.0000 0.5000  2 F 2.18
Ti 0.5000 0.5000 0.5000  12 Ta 3.08

Results
space group = Pm-3m (221)
volume = 82 Å³/f.u.
formation energy from raw total energies = 116 meV per atom
total energy = -8.949 eV/atom